A relaxed Na4Dy3MnS8 crystal, computed with PBE.

a = 7.7966 Å, b = 8.0532 Å, c = 7.7960 Å
α = 118.98°, β = 120.00°, γ = 90.00°
Sites, in units of the cell vectors:
Na  0.5000  0.0000  0.0000
Na  0.5000  0.0000  0.5000
Na  0.0000  0.0000  0.0000
Na  0.0000  0.0000  0.5000
Dy  0.5000  0.5000  0.0000
Dy  0.5000  0.5000  0.5000
Dy  0.0000  0.5000  0.5000
Mn  0.0000  0.5000  0.0000
S  0.2299  0.7187  0.9889
S  0.2302  0.7190  0.4603
S  0.2568  0.2705  0.5136
S  0.7591  0.7187  0.9889
S  0.2409  0.2813  0.0111
S  0.7432  0.7295  0.4864
S  0.7698  0.2810  0.5397
S  0.7701  0.2813  0.0111

## Properties
Energy relative to the elements, uncorrected = -1.5492 eV/atom
Space-group type = R-3m
Final energy = -86.06 eV/cell
DOS(E_F) = 0.16 states/eV per atom
Magnetization = 4.00 Bohr magnetons per cell

***

A relaxed Co3TePb crystal, computed with PBE.

a = 4.8043 Å, b = 4.8043 Å, c = 4.8043 Å
α = 90.00°, β = 90.00°, γ = 90.00°
Sites, in units of the cell vectors:
Pb  0.0000  0.0000  0.0000
Te  0.5000  0.5000  0.5000
Co  0.0000  0.5000  0.0000
Co  0.0000  0.0000  0.5000
Co  0.5000  0.0000  0.0000

## Properties
Energy relative to the elements, uncorrected = 1.4664 eV/atom
Space-group type = Pm-3m
Final energy = -20.84 eV/cell
DOS(E_F) = 1.11 states/eV per atom
Magnetization = 3.06 Bohr magnetons per cell

***

A relaxed Mg3In3CuAg2 crystal, computed with PBE.

a = 3.4640 Å, b = 7.8152 Å, c = 7.8152 Å
α = 120.00°, β = 90.00°, γ = 90.00°
Sites, in units of the cell vectors:
Mg  0.0000  0.6194  0.6194
Mg  0.0000  0.0000  0.3806
Mg  0.0000  0.3806  0.0000
In  0.5000  0.7303  0.0000
In  0.5000  0.0000  0.7303
In  0.5000  0.2697  0.2697
Cu  0.0000  0.0000  0.0000
Ag  0.5000  0.6667  0.3333
Ag  0.5000  0.3333  0.6667

## Properties
Space-group type = P-62m
Final energy = -23.98 eV/cell
DOS(E_F) = 0.33 states/eV per atom
Magnetization = 0.00 Bohr magnetons per cell
ΔE_f = -0.132 eV per atom

***

A relaxed La6Tb7Y16 crystal, computed with PBE.

a = 11.2183 Å, b = 11.2183 Å, c = 11.2183 Å
α = 60.00°, β = 60.00°, γ = 60.00°
Sites, in units of the cell vectors:
La  0.2220  0.7780  0.2220
La  0.7780  0.2220  0.7780
La  0.7780  0.2220  0.2220
La  0.2220  0.7780  0.7780
La  0.7780  0.7780  0.2220
La  0.2220  0.2220  0.7780
Tb  0.0000  0.0000  0.0000
Tb  0.5000  0.0000  0.5000
Tb  0.0000  0.5000  0.0000
Tb  0.0000  0.5000  0.5000
Tb  0.5000  0.0000  0.0000
Tb  0.0000  0.0000  0.5000
Tb  0.5000  0.5000  0.0000
Y  0.8505  0.8505  0.4486
Y  0.8505  0.8505  0.8505
Y  0.8505  0.4486  0.8505
Y  0.4486  0.8505  0.8505
Y  0.1495  0.1495  0.1495
Y  0.1495  0.1495  0.5514
Y  0.1495  0.5514  0.1495
Y  0.5514  0.1495  0.1495
Y  0.6160  0.6160  0.1520
Y  0.6160  0.6160  0.6160
Y  0.6160  0.1520  0.6160
Y  0.1520  0.6160  0.6160
Y  0.3840  0.3840  0.3840
Y  0.3840  0.3840  0.8480
Y  0.3840  0.8480  0.3840
Y  0.8480  0.3840  0.3840

## Properties
Space-group type = Fm-3m
Final energy = -159.84 eV/cell
DOS(E_F) = 1.64 states/eV per atom
Magnetization = 0.00 Bohr magnetons per cell
ΔE_f = 0.192 eV per atom

***

A relaxed La6TcIr2I3 crystal, computed with PBE.

a = 7.3571 Å, b = 7.3571 Å, c = 8.5929 Å
α = 98.21°, β = 98.21°, γ = 120.00°
Sites, in units of the cell vectors:
La  0.9384  0.6108  0.8147
La  0.7341  0.7341  0.1856
La  0.0616  0.3892  0.1853
La  0.6108  0.9384  0.8147
La  0.2659  0.2659  0.8144
La  0.3892  0.0616  0.1853
Tc  0.0000  0.0000  0.0000
Ir  0.3332  0.6668  0.0000
Ir  0.6668  0.3332  0.0000
I  0.1651  0.8349  0.5000
I  0.8349  0.1651  0.5000
I  0.5000  0.5000  0.5000

## Properties
Energy relative to the elements, uncorrected = -0.8877 eV/atom
Space-group type = C2/m
Final energy = -72.96 eV/cell
DOS(E_F) = 0.63 states/eV per atom
Magnetization = 0.00 Bohr magnetons per cell

***

A relaxed MgCdSn crystal, computed with PBE.

a = 7.0189 Å, b = 4.6388 Å, c = 4.6390 Å
α = 92.76°, β = 78.90°, γ = 101.10°
Sites, in units of the cell vectors:
Mg  0.5275  0.0067  0.0783
Mg  0.5276  0.5066  0.5783
Sn  0.2194  0.4219  0.1633
Sn  0.8360  0.5918  0.9937
Cd  0.8358  0.0809  0.5045
Cd  0.2196  0.9328  0.6524

## Properties
Space-group type = C2/m
Final energy = -13.22 eV/cell
DOS(E_F) = 0.41 states/eV per atom
Magnetization = 0.00 Bohr magnetons per cell
ΔE_f = -0.033 eV per atom

***

A relaxed Fe2ReMo crystal, computed with PBE.

a = 4.9785 Å, b = 4.9785 Å, c = 4.9785 Å
α = 143.79°, β = 130.25°, γ = 63.07°
Sites, in units of the cell vectors:
Fe  0.0007  0.0007  0.0000
Fe  0.4993  0.4993  0.0000
Mo  0.7500  0.2500  0.5000
Re  0.2500  0.7500  0.5000

## Properties
Space-group type = Immm
Final energy = -39.71 eV/cell
DOS(E_F) = 0.82 states/eV per atom
Magnetization = 4.80 Bohr magnetons per cell
ΔE_f = 0.123 eV per atom

***

A relaxed La2MgNi4As3 crystal, computed with PBE.

a = 4.1612 Å, b = 4.1612 Å, c = 10.1077 Å
α = 90.00°, β = 90.00°, γ = 90.00°
Sites, in units of the cell vectors:
La  0.5000  0.0000  0.2356
La  0.0000  0.5000  0.7644
Mg  0.5000  0.5000  0.5000
Ni  0.5000  0.5000  0.0000
Ni  0.0000  0.0000  0.0000
Ni  0.5000  0.0000  0.6387
Ni  0.0000  0.5000  0.3613
As  0.0000  0.0000  0.5000
As  0.5000  0.0000  0.8736
As  0.0000  0.5000  0.1264

## Properties
Space-group type = P-4m2
Final energy = -56.26 eV/cell
DOS(E_F) = 0.76 states/eV per atom
Magnetization = 0.14 Bohr magnetons per cell
ΔE_f = -0.774 eV per atom